[1]
DFT (PBE) results for a relaxed HfHgCl2 crystal.

```
HfHgCl2
1.0
7.4449 0.0144 8.8212
9.4529 -1.1930 6.5162
9.0761 2.0572 6.8289
Cl Hf Hg
2 1 1
Direct
0.1139 0.1139 0.1139 Cl
0.8861 0.8861 0.8861 Cl
0.5000 0.5000 0.5000 Hf
0.0000 0.0000 0.0000 Hg
```

Electronic total energy ... -4.51 eV/atom
Energy relative to the lowest polymorph listed for this composition ... 0.0 meV per atom
Formation energy (no corrections) ... -1.0225 eV/atom
Calculated volume ... 106.5 Å³/cell

=====

[2]
DFT (PBE) results for a relaxed Hf3HgCl crystal.

```
Hf3HgCl
1.0
-1.6185 3.1029 3.1865
-4.4194 -0.7403 -1.5238
-0.5005 -3.4965 3.1505
Hf Cl Hg
3 1 1
Direct
0.5000 0.0000 0.0000 Hf
0.0000 0.0000 0.5000 Hf
0.0000 0.5000 0.0000 Hf
0.0000 0.0000 0.0000 Cl
0.5000 0.5000 0.5000 Hg
```

Electronic total energy ... -6.19 eV/atom
Energy relative to the lowest polymorph listed for this composition ... 0.0 meV per atom
Formation energy (no corrections) ... 0.2164 eV/atom
Calculated volume ... 106.0 Å³/cell

=====

[3]
DFT (PBE) results for a relaxed HfHgCl6 crystal.

```
HfHgCl6
1.0
6.7468 -0.2077 -1.4120
-2.2426 6.3666 -1.4120
0.3927 0.5370 6.6345
Hf Cl Hg
1 6 1
Direct
0.0000 0.0000 0.0000 Hf
0.0293 0.7191 0.7405 Cl
0.9707 0.2809 0.2595 Cl
0.2809 0.9707 0.2595 Cl
0.7191 0.0293 0.7405 Cl
0.2537 0.2537 0.8597 Cl
0.7463 0.7463 0.1403 Cl
0.0000 0.0000 0.5000 Hg
```

Electronic total energy ... -3.99 eV/atom
Energy relative to the lowest polymorph listed for this composition ... 0.0 meV per atom
Formation energy (no corrections) ... -1.3197 eV/atom
Calculated volume ... 292.3 Å³/cell

=====

[4]
DFT (PBE) results for a relaxed HfHgCl2 crystal.

```
HfHgCl2
1.0
-3.1343 -2.0445 5.6462
3.0907 -6.0099 -0.4605
5.1567 -1.6503 6.3283
Cl Hf Hg
4 2 2
Direct
0.3750 0.5750 0.7500 Cl
0.4250 0.1250 0.2500 Cl
0.8750 0.6750 0.7500 Cl
0.3250 0.6250 0.2500 Cl
0.5000 0.5000 0.0000 Hf
0.2500 0.7500 0.5000 Hf
0.7500 0.2500 0.5000 Hg
0.0000 0.0000 0.0000 Hg
```

Electronic total energy ... -3.91 eV/atom
Energy relative to the lowest polymorph listed for this composition ... 595.2 meV per atom
Formation energy (no corrections) ... -0.4273 eV/atom
Calculated volume ... 312.6 Å³/cell

=====

[5]
DFT (PBE) results for a relaxed HfIn3Hg2Cl6 crystal.

```
HfIn3Hg2Cl6
1.0
7.0892 0.0000 0.5421
0.0000 7.1543 0.0000
-0.2897 -3.5771 8.2069
Hg Hf Cl In
2 1 6 3
Direct
0.1807 0.6672 0.3344 Hg
0.8193 0.3328 0.6656 Hg
0.5000 0.0000 0.0000 Hf
0.2576 0.1109 0.2218 Cl
0.3253 0.1689 0.8537 Cl
0.7424 0.8891 0.7782 Cl
0.6747 0.3151 0.1463 Cl
0.3253 0.6849 0.8537 Cl
0.6747 0.8311 0.1463 Cl
0.0000 0.5000 0.0000 In
0.5000 0.0000 0.5000 In
0.5000 0.5000 0.5000 In
```

Electronic total energy ... -3.49 eV/atom
Formation energy (no corrections) ... -0.9982 eV/atom
Calculated volume ... 417.4 Å³/cell

=====

[6]
DFT (PBE) results for a relaxed HfHg4P2Cl6 crystal.

```
HfHg4P2Cl6
1.0
13.3655 0.0000 0.0000
0.0000 13.5736 0.0000
0.0000 0.0000 16.4634
Cl Hf Hg P
48 8 32 16
Direct
0.2337 0.5679 0.2353 Cl
0.2654 0.3273 0.1781 Cl
0.4711 0.0146 0.6714 Cl
0.2346 0.6727 0.6781 Cl
0.1635 0.3558 0.5462 Cl
0.2663 0.0679 0.2353 Cl
0.8704 0.5109 0.9450 Cl
0.8704 0.9891 0.4450 Cl
0.6296 0.4891 0.4450 Cl
0.7337 0.5679 0.2647 Cl
0.7346 0.8273 0.3219 Cl
0.0289 0.9854 0.1714 Cl
0.2663 0.4321 0.7353 Cl
0.3704 0.5109 0.5550 Cl
0.8575 0.3973 0.5085 Cl
0.0289 0.5146 0.6714 Cl
0.1296 0.0109 0.5550 Cl
0.7346 0.6727 0.8219 Cl
0.3365 0.6442 0.0462 Cl
0.8365 0.6442 0.4538 Cl
0.6425 0.6027 0.0085 Cl
0.3575 0.3973 0.9915 Cl
0.4711 0.4854 0.1714 Cl
0.1425 0.8973 0.9915 Cl
0.9711 0.4854 0.3286 Cl
0.7654 0.3273 0.3219 Cl
0.7663 0.0679 0.2647 Cl
0.5289 0.5146 0.8286 Cl
0.6635 0.1442 0.4538 Cl
0.7654 0.1727 0.8219 Cl
0.8365 0.8558 0.9538 Cl
0.7337 0.9321 0.7647 Cl
0.6635 0.3558 0.9538 Cl
0.3365 0.8558 0.5462 Cl
0.6425 0.8973 0.5085 Cl
0.1296 0.4891 0.0550 Cl
0.2337 0.9321 0.7353 Cl
0.1635 0.1442 0.0462 Cl
0.3704 0.9891 0.0550 Cl
0.2346 0.8273 0.1781 Cl
0.7663 0.4321 0.7647 Cl
0.5289 0.9854 0.3286 Cl
0.2654 0.1727 0.6781 Cl
0.8575 0.1027 0.0085 Cl
0.3575 0.1027 0.4915 Cl
0.6296 0.0109 0.9450 Cl
0.9711 0.0146 0.8286 Cl
0.1425 0.6027 0.4915 Cl
0.8016 0.0134 0.8866 Hf
0.8016 0.4866 0.3866 Hf
0.6984 0.9866 0.3866 Hf
0.1984 0.9866 0.1134 Hf
0.3016 0.0134 0.6134 Hf
0.3016 0.4866 0.1134 Hf
0.1984 0.5134 0.6134 Hf
0.6984 0.5134 0.8866 Hf
0.9794 0.2397 0.7522 Hg
0.0165 0.7065 0.9994 Hg
0.5165 0.7935 0.0006 Hg
0.9091 0.5111 0.1452 Hg
0.5206 0.7397 0.7522 Hg
0.4835 0.2935 0.4994 Hg
0.4794 0.2397 0.7478 Hg
0.7674 0.7651 0.1267 Hg
0.5206 0.7603 0.2522 Hg
0.0206 0.7603 0.2478 Hg
0.5909 0.4889 0.6452 Hg
0.9835 0.2935 0.0006 Hg
0.2326 0.2349 0.8734 Hg
0.7326 0.2349 0.6266 Hg
0.9835 0.2065 0.5006 Hg
0.2326 0.2651 0.3734 Hg
0.4091 0.9889 0.8548 Hg
0.5909 0.0111 0.1452 Hg
0.0909 0.4889 0.8548 Hg
0.2674 0.7651 0.3734 Hg
0.5165 0.7065 0.5006 Hg
0.0206 0.7397 0.7478 Hg
0.4794 0.2603 0.2478 Hg
0.4835 0.2065 0.9994 Hg
0.7326 0.2651 0.1267 Hg
0.2674 0.7349 0.8734 Hg
0.0165 0.7935 0.4994 Hg
0.0909 0.0111 0.3548 Hg
0.4091 0.5111 0.3548 Hg
0.9091 0.9889 0.6452 Hg
0.7674 0.7349 0.6266 Hg
0.9794 0.2603 0.2522 Hg
0.5977 0.8309 0.1308 P
0.0977 0.6691 0.8692 P
0.9023 0.3309 0.1308 P
0.9329 0.8101 0.6314 P
0.4023 0.1691 0.8692 P
0.0671 0.3101 0.8686 P
0.4023 0.3309 0.3692 P
0.5671 0.1899 0.1314 P
0.5977 0.6691 0.6308 P
0.9023 0.1691 0.6308 P
0.5671 0.3101 0.6314 P
0.0977 0.8309 0.3692 P
0.9329 0.6899 0.1314 P
0.0671 0.1899 0.3686 P
0.4329 0.8101 0.8686 P
0.4329 0.6899 0.3686 P
```

Electronic total energy ... -3.47 eV/atom
Formation energy (no corrections) ... -0.9267 eV/atom
Calculated volume ... 2986.8 Å³/cell

=====

What is the formation energy (no corrections) in the fifth record? -0.9982 eV/atom